No. 1
Compound: Ag2Bi2Pd7Au
Source: Alexandria via LeMat-Bulk
Functional: PBE-GGA
Structure: relaxed

Cell lengths 15.7024, 15.7024, 15.7024 Å; angles 165.96, 165.96, 19.90 degrees
Atoms (fractional coordinates):
Ag: 0.1342 0.1342 0.0000
Ag: 0.8658 0.8658 0.0000
Bi: 0.3152 0.3152 0.0000
Bi: 0.6848 0.6848 0.0000
Pd: 0.0000 0.0000 0.0000
Pd: 0.0683 0.5683 0.5000
Pd: 0.2263 0.2263 0.0000
Pd: 0.4317 0.9317 0.5000
Pd: 0.5683 0.0683 0.5000
Pd: 0.7737 0.7737 0.0000
Pd: 0.9317 0.4317 0.5000
Au: 0.5000 0.5000 0.0000

Output
- volume (A^3/atom) = 18.98

---

No. 2
Compound: AgBi2PtAu
Source: Alexandria via LeMat-Bulk
Functional: PBE-GGA
Structure: relaxed

Cell lengths 5.3168, 5.3168, 5.0128 Å; angles 90.00, 90.00, 90.00 degrees
Atoms (fractional coordinates):
Ag: 0.0000 0.0000 0.0000
Bi: 0.0000 0.5000 0.0000
Bi: 0.5000 0.0000 0.0000
Pt: 0.5000 0.5000 0.5000
Au: 0.0000 0.0000 0.5000

Output
- volume (A^3/atom) = 28.34

---

No. 3
Compound: PuAgBiAu
Source: Alexandria via LeMat-Bulk
Functional: PBE-GGA
Structure: relaxed

Cell lengths 7.2643, 7.2643, 7.2643 Å; angles 90.00, 90.00, 90.00 degrees
Atoms (fractional coordinates):
Pu: 0.0000 0.0000 0.0000
Pu: 0.0000 0.5000 0.5000
Pu: 0.5000 0.0000 0.5000
Pu: 0.5000 0.5000 0.0000
Ag: 0.2500 0.2500 0.2500
Ag: 0.2500 0.7500 0.7500
Ag: 0.7500 0.2500 0.7500
Ag: 0.7500 0.7500 0.2500
Bi: 0.0000 0.0000 0.5000
Bi: 0.0000 0.5000 0.0000
Bi: 0.5000 0.0000 0.0000
Bi: 0.5000 0.5000 0.5000
Au: 0.2500 0.2500 0.7500
Au: 0.2500 0.7500 0.2500
Au: 0.7500 0.2500 0.2500
Au: 0.7500 0.7500 0.7500

Output
- volume (A^3/atom) = 23.96

---

No. 4
Compound: RbAgBi3Au
Source: Alexandria via LeMat-Bulk
Functional: PBE-GGA
Structure: relaxed

Cell lengths 8.8632, 8.8632, 7.4334 Å; angles 90.00, 90.00, 130.36 degrees
Atoms (fractional coordinates):
Rb: 0.2093 0.7907 0.7500
Rb: 0.7907 0.2093 0.2500
Ag: 0.4161 0.5839 0.2500
Ag: 0.5839 0.4161 0.7500
Bi: 0.2448 0.7552 0.2500
Bi: 0.2507 0.2507 0.0000
Bi: 0.2507 0.2507 0.5000
Bi: 0.7493 0.7493 0.0000
Bi: 0.7493 0.7493 0.5000
Bi: 0.7552 0.2448 0.7500
Au: 0.0761 0.9239 0.2500
Au: 0.9239 0.0761 0.7500

Output
- volume (A^3/atom) = 37.08

---

No. 5
Compound: AgBiSbAu
Source: Alexandria via LeMat-Bulk
Functional: PBE-GGA
Structure: relaxed

Cell lengths 7.2222, 7.2222, 7.2222 Å; angles 90.00, 90.00, 90.00 degrees
Atoms (fractional coordinates):
Ag: 0.0000 0.0000 0.0000
Ag: 0.0000 0.5000 0.5000
Ag: 0.5000 0.0000 0.5000
Ag: 0.5000 0.5000 0.0000
Bi: 0.2500 0.2500 0.7500
Bi: 0.2500 0.7500 0.2500
Bi: 0.7500 0.2500 0.2500
Bi: 0.7500 0.7500 0.7500
Sb: 0.2500 0.2500 0.2500
Sb: 0.2500 0.7500 0.7500
Sb: 0.7500 0.2500 0.7500
Sb: 0.7500 0.7500 0.2500
Au: 0.0000 0.0000 0.5000
Au: 0.0000 0.5000 0.0000
Au: 0.5000 0.0000 0.0000
Au: 0.5000 0.5000 0.5000

Output
- volume (A^3/atom) = 23.54

---

No. 6
Compound: ScAgBiAu
Source: Alexandria via LeMat-Bulk
Functional: PBE-GGA
Structure: relaxed

Cell lengths 7.0295, 7.0295, 7.0295 Å; angles 90.00, 90.00, 90.00 degrees
Atoms (fractional coordinates):
Sc: 0.0000 0.0000 0.0000
Sc: 0.0000 0.5000 0.5000
Sc: 0.5000 0.0000 0.5000
Sc: 0.5000 0.5000 0.0000
Ag: 0.0000 0.0000 0.5000
Ag: 0.0000 0.5000 0.0000
Ag: 0.5000 0.0000 0.0000
Ag: 0.5000 0.5000 0.5000
Bi: 0.2500 0.2500 0.7500
Bi: 0.2500 0.7500 0.2500
Bi: 0.7500 0.2500 0.2500
Bi: 0.7500 0.7500 0.7500
Au: 0.2500 0.2500 0.2500
Au: 0.2500 0.7500 0.7500
Au: 0.7500 0.2500 0.7500
Au: 0.7500 0.7500 0.2500

Output
- volume (A^3/atom) = 21.71

---

No. 7
Compound: AgBiAuSe3
Source: Alexandria via LeMat-Bulk
Functional: PBE-GGA
Structure: relaxed

Cell lengths 8.2686, 4.1671, 9.2834 Å; angles 90.00, 101.69, 90.00 degrees
Atoms (fractional coordinates):
Ag: 0.1605 0.2500 0.1636
Ag: 0.8395 0.7500 0.8364
Bi: 0.3288 0.7500 0.8335
Bi: 0.6712 0.2500 0.1665
Au: 0.3913 0.7500 0.4879
Au: 0.6087 0.2500 0.5121
Se: 0.0930 0.2500 0.8713
Se: 0.2168 0.2500 0.4542
Se: 0.4018 0.7500 0.1374
Se: 0.5982 0.2500 0.8626
Se: 0.7832 0.7500 0.5458
Se: 0.9070 0.7500 0.1287

Output
- volume (A^3/atom) = 26.10

---

No. 8
Compound: SmAgBiAu
Source: Alexandria via LeMat-Bulk
Functional: PBE-GGA
Structure: relaxed

Cell lengths 7.2917, 7.2917, 7.2917 Å; angles 90.00, 90.00, 90.00 degrees
Atoms (fractional coordinates):
Sm: 0.0000 0.0000 0.0000
Sm: 0.0000 0.5000 0.5000
Sm: 0.5000 0.0000 0.5000
Sm: 0.5000 0.5000 0.0000
Ag: 0.2500 0.2500 0.7500
Ag: 0.2500 0.7500 0.2500
Ag: 0.7500 0.2500 0.2500
Ag: 0.7500 0.7500 0.7500
Bi: 0.0000 0.0000 0.5000
Bi: 0.0000 0.5000 0.0000
Bi: 0.5000 0.0000 0.0000
Bi: 0.5000 0.5000 0.5000
Au: 0.2500 0.2500 0.2500
Au: 0.2500 0.7500 0.7500
Au: 0.7500 0.2500 0.7500
Au: 0.7500 0.7500 0.2500

Output
- volume (A^3/atom) = 24.23

---

No. 9
Compound: AgBiTeAu
Source: Alexandria via LeMat-Bulk
Functional: PBE-GGA
Structure: relaxed

Cell lengths 13.4355, 13.4355, 13.4355 Å; angles 18.66, 18.66, 18.66 degrees
Atoms (fractional coordinates):
Ag: 0.1858 0.1858 0.1858
Ag: 0.8142 0.8142 0.8142
Bi: 0.3906 0.3906 0.3906
Bi: 0.6094 0.6094 0.6094
Te: 0.1124 0.1124 0.1124
Te: 0.8876 0.8876 0.8876
Au: 0.3132 0.3132 0.3132
Au: 0.6868 0.6868 0.6868

Output
- volume (A^3/atom) = 27.11

---

No. 10
Compound: TlAgBiAu
Source: Alexandria via LeMat-Bulk
Functional: PBE-GGA
Structure: relaxed

Cell lengths 7.2771, 7.2771, 7.2771 Å; angles 90.00, 90.00, 90.00 degrees
Atoms (fractional coordinates):
Tl: 0.0000 0.0000 0.0000
Tl: 0.0000 0.5000 0.5000
Tl: 0.5000 0.0000 0.5000
Tl: 0.5000 0.5000 0.0000
Ag: 0.2500 0.2500 0.2500
Ag: 0.2500 0.7500 0.7500
Ag: 0.7500 0.2500 0.7500
Ag: 0.7500 0.7500 0.2500
Bi: 0.0000 0.0000 0.5000
Bi: 0.0000 0.5000 0.0000
Bi: 0.5000 0.0000 0.0000
Bi: 0.5000 0.5000 0.5000
Au: 0.2500 0.2500 0.7500
Au: 0.2500 0.7500 0.2500
Au: 0.7500 0.2500 0.2500
Au: 0.7500 0.7500 0.7500

Output
- volume (A^3/atom) = 24.09

---

No. 11
Compound: TmAgBiAu
Source: Alexandria via LeMat-Bulk
Functional: PBE-GGA
Structure: relaxed

Cell lengths 7.1807, 7.1807, 7.1807 Å; angles 90.00, 90.00, 90.00 degrees
Atoms (fractional coordinates):
Tm: 0.0000 0.0000 0.0000
Tm: 0.0000 0.5000 0.5000
Tm: 0.5000 0.0000 0.5000
Tm: 0.5000 0.5000 0.0000
Ag: 0.2500 0.2500 0.2500
Ag: 0.2500 0.7500 0.7500
Ag: 0.7500 0.2500 0.7500
Ag: 0.7500 0.7500 0.2500
Bi: 0.0000 0.0000 0.5000
Bi: 0.0000 0.5000 0.0000
Bi: 0.5000 0.0000 0.0000
Bi: 0.5000 0.5000 0.5000
Au: 0.2500 0.2500 0.7500
Au: 0.2500 0.7500 0.2500
Au: 0.7500 0.2500 0.2500
Au: 0.7500 0.7500 0.7500

Output
- volume (A^3/atom) = 23.14

---

No. 12
Compound: UAgBiAu
Source: Alexandria via LeMat-Bulk
Functional: PBE-GGA
Structure: relaxed

Cell lengths 7.2391, 7.2391, 7.2391 Å; angles 90.00, 90.00, 90.00 degrees
Atoms (fractional coordinates):
U: 0.0000 0.0000 0.0000
U: 0.0000 0.5000 0.5000
U: 0.5000 0.0000 0.5000
U: 0.5000 0.5000 0.0000
Ag: 0.0000 0.0000 0.5000
Ag: 0.0000 0.5000 0.0000
Ag: 0.5000 0.0000 0.0000
Ag: 0.5000 0.5000 0.5000
Bi: 0.2500 0.2500 0.2500
Bi: 0.2500 0.7500 0.7500
Bi: 0.7500 0.2500 0.7500
Bi: 0.7500 0.7500 0.2500
Au: 0.2500 0.2500 0.7500
Au: 0.2500 0.7500 0.2500
Au: 0.7500 0.2500 0.2500
Au: 0.7500 0.7500 0.7500

Output
- volume (A^3/atom) = 23.71

---

Number 1: total energy -4.428 eV per atom. Number 2: total energy -3.097 eV per atom. Number 3: total energy -6.271 eV per atom. Number 4: total energy -3.059 eV per atom. Number 5: total energy -3.384 eV per atom. Number 6: total energy -4.401 eV per atom. Number 7: total energy -3.546 eV per atom. Number 8: total energy -4.120 eV per atom. Number 9: total energy -3.289 eV per atom. Number 10: total energy -2.995 eV per atom. Number 11: total energy -3.994 eV per atom. Number 12: total energy -5.292 eV per atom.